DFT (PBE) results for crystalline MgGa4Co2Ru at its relaxed geometry.

Summary:
**DFT formation energy**: -0.19 eV/atom
**DOS at the Fermi energy**: 0.38 states/eV per atom

Geometry as extended XYZ:
```
8
Lattice="-3.1179 0.3465 -2.8751 0.7145 -1.0787 -4.0538 -2.8020 -6.7686 -0.9261" Properties=species:S:1:pos:R:3 pbc="T T T"
Mg 0.0000 0.0000 0.0000
Ga -3.3313 -6.1265 -3.4237
Ga -3.1857 -3.2833 -6.3880
Ga -2.0197 -4.2176 -1.4671
Ga -1.8740 -1.3744 -4.4314
Co -3.9254 -5.6954 -5.8765
Co -1.2799 -1.8054 -1.9786
Ru -2.6027 -3.7504 -3.9275
```


DFT (PBE) results for crystalline Ho2MgPa at its relaxed geometry.

Summary:
**Offset from the most stable computed form**: 0.296 eV/atom
**DFT formation energy**: 0.35 eV/atom
**DOS at the Fermi energy**: 2.05 states/eV per atom

Geometry as extended XYZ:
```
4
Lattice="-0.6334 5.3541 0.1325 -2.8833 2.4698 -3.8303 -4.8146 2.1171 1.1927" Properties=species:S:1:pos:R:3 pbc="T T T"
Mg -4.1657 4.9705 -1.2526
Pa 0.0000 0.0000 0.0000
Ho -2.0828 2.4852 -0.6263
Ho -6.2485 7.4557 -1.8789
```


DFT (PBE) results for crystalline Tb4PrTm2Sc at its relaxed geometry.

Summary:
**DFT formation energy**: 0.43 eV/atom
**DOS at the Fermi energy**: 2.28 states/eV per atom

Geometry as extended XYZ:
```
16
Lattice="-1.7505 -8.4481 -3.6758 4.4299 -4.2622 7.0820 -7.0139 9.2428 0.4331" Properties=species:S:1:pos:R:3 pbc="T T T"
Tb -4.1315 3.9432 4.7572
Tb -3.7614 -2.8241 -0.7908
Tb -0.5731 -0.6433 4.6301
Tb -0.2030 -7.4108 -0.9179
Tb 1.9419 -9.5437 2.4916
Tb -1.5121 -4.9561 2.6910
Tb -2.8223 1.4886 1.1485
Tb -6.2764 6.0763 1.3478
Pr -2.1672 -1.7337 1.9197
Pr -8.7643 0.7947 -3.2426
Tm -0.8752 -4.2241 -1.8379
Tm -4.3822 0.3973 -1.6213
Tm -3.5069 4.6214 0.2166
Tm 1.3397 -6.3551 1.7031
Sc 2.2149 -2.1311 3.5410
Sc -3.0424 -5.9578 0.0818
```


DFT (PBE) results for crystalline CrSiNi2H at its relaxed geometry.

Summary:
**Energy**: -6.203 eV/atom
**DOS at the Fermi energy**: 0.87 states/eV per atom

Geometry as extended XYZ:
```
5
Lattice="3.5714 0.0000 0.0000 0.0000 3.5714 0.0000 0.0000 0.0000 3.7640" Properties=species:S:1:pos:R:3 pbc="T T T"
Ni 0.0000 1.7857 0.0000
Ni 1.7857 0.0000 0.0000
Si 1.7857 1.7857 1.8820
H 0.0000 0.0000 0.0000
Cr 0.0000 0.0000 1.8820
```


DFT (PBE) results for crystalline Mn2HRuW at its relaxed geometry.

Summary:
**Offset from the most stable computed form**: 0.000 eV/atom
**DOS at the Fermi energy**: 0.78 states/eV per atom

Geometry as extended XYZ:
```
5
Lattice="3.7909 0.0000 0.0000 0.0000 3.7909 0.0000 0.0000 0.0000 3.7964" Properties=species:S:1:pos:R:3 pbc="T T T"
Ru 0.0000 0.0000 1.8982
Mn 0.0000 1.8955 0.0000
Mn 1.8955 0.0000 0.0000
W 1.8955 1.8955 1.8982
H 0.0000 0.0000 0.0000
```


DFT (PBE) results for crystalline MnZnSi2 at its relaxed geometry.

Summary:
**Formation energy (no corrections)**: 72 meV/atom
**DOS at the Fermi energy**: 0.57 states/eV per atom

Geometry as extended XYZ:
```
4
Lattice="-0.1519 -2.6636 -0.0734 1.6336 -0.1512 2.1052 -5.9503 0.2117 4.6324" Properties=species:S:1:pos:R:3 pbc="T T T"
Mn -3.7220 -1.2487 4.4902
Si -5.7092 0.2031 4.4447
Si -3.2163 0.1144 2.5040
Zn -0.7468 -1.3545 2.1740
```


DFT (PBE) results for crystalline Na3Zr3TaS8 at its relaxed geometry.

Summary:
**Formation energy (no corrections)**: -1401 meV/atom
**DOS at the Fermi energy**: 0.33 states/eV per atom

Geometry as extended XYZ:
```
15
Lattice="7.2059 0.0000 0.0000 -3.6029 6.2451 -0.0265 0.0000 -4.1400 7.0208" Properties=species:S:1:pos:R:3 pbc="T T T"
Na 0.0000 0.0000 0.0000
Na -1.8015 3.1226 -0.0133
Na 1.8015 3.1226 -0.0133
Zr 3.6029 -2.0700 3.5104
Zr 1.8015 1.0526 3.4972
Zr -1.8015 1.0526 3.4972
Ta 0.0000 -2.0700 3.5104
S 0.0000 2.0897 1.9139
S 3.6029 0.0154 5.0804
S 3.6029 2.1495 1.9688
S 0.0000 -0.0444 5.0255
S 5.4543 -1.0613 1.9817
S -1.8514 3.1664 5.0126
S 1.7515 -1.0613 1.9817
S 1.8514 3.1664 5.0126
```


DFT (PBE) results for crystalline Hg2RuRh at its relaxed geometry.

Summary:
**Offset from the most stable computed form**: 0.134 eV/atom
**DFT formation energy**: 0.39 eV/atom
**DOS at the Fermi energy**: 1.12 states/eV per atom

Geometry as extended XYZ:
```
4
Lattice="5.4500 0.1478 0.4016 4.6063 2.9166 0.4016 1.3584 0.4139 4.7488" Properties=species:S:1:pos:R:3 pbc="T T T"
Hg 9.9798 3.0411 1.1257
Hg 8.6261 2.6286 3.8511
Rh 6.0124 1.8321 3.0120
Ru 2.5600 0.7801 1.1425
```


DFT (PBE) results for crystalline Ti2TeAu at its relaxed geometry.

Summary:
**Formation energy (no corrections)**: -138 meV/atom
**DOS at the Fermi energy**: 0.89 states/eV per atom

Geometry as extended XYZ:
```
8
Lattice="-7.0542 1.3600 -1.6404 -2.0219 -2.4815 6.6374 -4.2680 2.1707 3.6020" Properties=species:S:1:pos:R:3 pbc="T T T"
Te -4.5380 -0.5608 2.4985
Te -5.4140 -0.4358 6.3690
Au 0.0000 0.0000 0.0000
Au -7.9301 1.4849 2.2300
Ti -5.7593 1.0884 0.6978
Ti -3.1817 -0.8442 4.8510
Ti -6.5958 1.2182 4.5464
Ti -11.1514 0.6358 7.1028
```


DFT (PBE) results for crystalline MgSc5Sn6 at its relaxed geometry.

Summary:
**DFT formation energy**: -0.41 eV/atom
**DOS at the Fermi energy**: 0.72 states/eV per atom

Geometry as extended XYZ:
```
12
Lattice="5.9084 0.1627 0.0000 1.8655 9.2353 0.0000 0.9327 4.6177 5.2852" Properties=species:S:1:pos:R:3 pbc="T T T"
Mg 0.0000 0.0000 0.0000
Sc 3.8869 4.6990 3.5775
Sc 0.9328 4.6177 1.7549
Sc 3.8869 4.6990 0.0000
Sc 1.8655 9.2353 3.5303
Sc 4.8197 9.3167 1.7077
Sn 4.9068 2.4297 1.7761
Sn 2.8671 6.9683 1.7761
Sn 1.9501 2.3553 0.0000
Sn 5.8238 7.0427 0.0000
Sn 5.8396 7.0474 3.5091
Sn 3.7998 11.5860 3.5091
```


DFT (PBE) results for crystalline Ba5IrO8 at its relaxed geometry.

Summary:
**Formation energy (no corrections)**: -1901 meV/atom
**DOS at the Fermi energy**: 0.46 states/eV per atom

Geometry as extended XYZ:
```
14
Lattice="7.1629 -0.1977 0.3399 -2.6097 6.6735 -0.3399 -1.9435 -3.4721 5.9690" Properties=species:S:1:pos:R:3 pbc="T T T"
Ba -1.2845 2.0414 0.9395
Ba 3.2696 4.6493 1.3100
Ba 2.8221 1.7160 3.7337
Ba 2.6097 -1.8349 3.1545
Ba 0.4121 -2.3994 5.9548
Ir -0.9717 0.6832 4.3918
O -2.3053 1.4106 5.4589
O -1.7318 -1.0072 4.4965
O 3.8049 0.2055 1.9615
O 2.2319 -0.7007 5.5179
O 1.5157 2.9043 1.8266
O 0.1639 2.1095 4.7411
O -0.0138 0.2200 2.8706
O -2.3331 3.5982 2.6321
```


DFT (PBE) results for crystalline Te2OsNF at its relaxed geometry.

Summary:
**Offset from the most stable computed form**: 0.000 eV/atom
**Formation energy (no corrections)**: 172 meV/atom
**DOS at the Fermi energy**: 0.81 states/eV per atom

Geometry as extended XYZ:
```
5
Lattice="-0.5825 -2.4340 -4.7954 0.4070 -4.8295 2.4019 -3.6110 -0.0688 0.4735" Properties=species:S:1:pos:R:3 pbc="T T T"
N -1.8055 -0.0344 0.2368
Te 0.2035 -2.4148 1.2009
Te -0.2912 -1.2170 -2.3977
Os 0.0000 0.0000 0.0000
F -1.8932 -3.6662 -0.9600
```


DFT (PBE) results for crystalline Hf2NiBr at its relaxed geometry.

Summary:
**Offset from the most stable computed form**: 0.263 eV/atom
**Formation energy (no corrections)**: 287 meV/atom
**DOS at the Fermi energy**: 1.15 states/eV per atom

Geometry as extended XYZ:
```
8
Lattice="5.7551 0.0000 0.0000 0.0000 5.7551 0.0000 2.8776 2.8776 6.1241" Properties=species:S:1:pos:R:3 pbc="T T T"
Ni 2.8776 2.8776 0.0000
Ni 2.8776 5.7551 3.0620
Hf 3.9880 1.4388 1.5310
Hf 1.7672 4.3163 1.5310
Hf 4.3163 4.6447 4.5931
Hf 7.1939 6.8655 4.5931
Br 0.0000 0.0000 0.0000
Br 5.7551 2.8776 3.0620
```


DFT (PBE) results for crystalline LaThNi10 at its relaxed geometry.

Summary:
**DFT formation energy**: -0.35 eV/atom
**DOS at the Fermi energy**: 1.02 states/eV per atom

Geometry as extended XYZ:
```
12
Lattice="3.9870 0.0000 0.0000 0.0000 4.9750 0.0000 0.0000 0.0000 8.6010" Properties=species:S:1:pos:R:3 pbc="T T T"
La 0.0000 0.0000 0.0000
Th 0.0000 2.4875 4.3005
Ni 0.0000 0.0000 2.8882
Ni 0.0000 2.4875 7.1435
Ni 0.0000 2.4875 1.4575
Ni 0.0000 0.0000 5.7127
Ni 1.9935 0.0000 4.3005
Ni 1.9935 2.4875 0.0000
Ni 1.9935 1.2593 2.1857
Ni 1.9935 3.7157 6.4153
Ni 1.9935 3.7157 2.1857
Ni 1.9935 1.2593 6.4153
```


DFT (PBE) results for crystalline ZrCdRe2Au at its relaxed geometry.

Summary:
**DFT formation energy**: 1.88 eV/atom
**DOS at the Fermi energy**: 1.20 states/eV per atom

Geometry as extended XYZ:
```
5
Lattice="4.9356 0.0000 0.0000 0.0000 4.8366 0.0000 0.0000 0.0000 4.9356" Properties=species:S:1:pos:R:3 pbc="T T T"
Re 0.0000 0.0000 2.4678
Re 2.4678 0.0000 0.0000
Au 0.0000 0.0000 0.0000
Zr 2.4678 2.4183 2.4678
Cd 0.0000 2.4183 0.0000
```


DFT (PBE) results for crystalline Rb4B2S5 at its relaxed geometry.

Summary:
**Formation energy (no corrections)**: -927 meV/atom
**DOS at the Fermi energy**: 0.00 states/eV per atom

Geometry as extended XYZ:
```
11
Lattice="-3.3985 3.1387 4.8924 -5.9540 2.4563 -1.9631 -4.7021 -6.7745 2.4271" Properties=species:S:1:pos:R:3 pbc="T T T"
Rb -9.7422 2.6615 3.3666
Rb -3.8171 -2.9205 1.7136
Rb -3.3473 1.5532 1.0931
Rb -10.4250 -1.9776 4.0829
B -6.9100 -1.8063 2.7556
B -6.5888 1.2997 2.3267
S -7.9150 -2.5988 1.4875
S -6.3194 2.2084 3.8525
S -7.4334 1.9109 0.8639
S -6.7978 -2.3005 4.4845
S -5.7208 -0.4070 2.1730
```


DFT (PBE) results for crystalline Np2AgGe3Pt4 at its relaxed geometry.

Summary:
**DFT formation energy**: -0.45 eV/atom
**DOS at the Fermi energy**: 1.74 states/eV per atom

Geometry as extended XYZ:
```
10
Lattice="4.0501 0.0000 0.0000 0.0000 4.0501 0.0000 0.0000 0.0000 11.6774" Properties=species:S:1:pos:R:3 pbc="T T T"
Np 2.0251 0.0000 2.9126
Np 0.0000 2.0251 8.7648
Ag 2.0251 2.0251 5.8387
Ge 0.0000 0.0000 5.8387
Ge 2.0251 0.0000 10.1572
Ge 0.0000 2.0251 1.5201
Pt 2.0251 2.0251 0.0000
Pt 0.0000 0.0000 0.0000
Pt 2.0251 0.0000 7.7194
Pt 0.0000 2.0251 3.9580
```


DFT (PBE) results for crystalline LaHoCu2Se4 at its relaxed geometry.

Summary:
**Formation energy (no corrections)**: -1122 meV/atom
**DOS at the Fermi energy**: 0.07 states/eV per atom

Geometry as extended XYZ:
```
8
Lattice="-2.0113 -1.6165 -6.2940 -3.2636 -5.2938 -1.2735 -5.8350 1.2886 -2.1423" Properties=species:S:1:pos:R:3 pbc="T T T"
La 0.0000 0.0000 0.0000
Ho -5.5550 -2.8108 -4.8549
Cu -3.4353 -1.6271 -2.1603
Cu -7.6746 -3.9945 -7.5495
Se -4.2189 -0.5203 -4.0818
Se -5.9125 -4.3149 -2.5660
Se -4.0846 -4.1554 -6.7678
Se -8.0038 -2.2525 -6.0040
```


DFT (PBE) results for crystalline AlTc2AsF at its relaxed geometry.

Summary:
**Formation energy (no corrections)**: 1181 meV/atom
**DOS at the Fermi energy**: 0.75 states/eV per atom

Geometry as extended XYZ:
```
5
Lattice="4.7336 0.0000 0.0000 0.0000 4.6021 0.0000 0.0000 0.0000 4.7336" Properties=species:S:1:pos:R:3 pbc="T T T"
As 0.0000 2.3010 0.0000
F 2.3668 2.3010 2.3668
Tc 0.0000 0.0000 2.3668
Tc 2.3668 0.0000 0.0000
Al 0.0000 0.0000 0.0000
```


DFT (PBE) results for crystalline SrTaCl4 at its relaxed geometry.

Summary:
**Formation energy (no corrections)**: 278 meV/atom
**DOS at the Fermi energy**: 1.37 states/eV per atom

Geometry as extended XYZ:
```
6
Lattice="0.0000 4.2463 4.2463 4.2463 0.0000 4.2463 4.2463 4.2463 0.0000" Properties=species:S:1:pos:R:3 pbc="T T T"
Sr 6.3695 6.3695 6.3695
Ta 0.0000 0.0000 0.0000
Cl 5.3109 3.1818 5.3109
Cl 3.1818 5.3109 5.3109
Cl 5.3109 5.3109 3.1818
Cl 3.1818 3.1818 3.1818
```